Record 1
{"formula": "TiFePt2Se", "functional": "GGA-PBE", "state": "relaxed", "cell": [[4.681, 0.000, 0.000], [0.000, 4.368, 0.000], [0.000, 0.000, 4.681]], "species": ["Ti", "Pt", "Fe", "Pt", "Se"], "frac_coords": [[0.500, 0.500, 0.500], [0.000, 0.000, 0.500], [0.000, 0.000, 0.000], [0.500, 0.000, 0.000], [0.000, 0.500, 0.000]], "formation_energy_uncorrected_mev_per_atom": 486}



Record 2
{"formula": "Ho3ErTm", "functional": "GGA-PBE", "state": "relaxed", "cell": [[-5.521, 7.318, 0.270], [-7.200, -5.487, 1.469], [1.068, 0.538, 7.243]], "species": ["Ho", "Ho", "Tm", "Er", "Tm", "Ho", "Ho", "Tm", "Er", "Ho", "Ho", "Tm", "Er", "Er", "Ho", "Ho", "Ho", "Ho", "Ho", "Ho"], "frac_coords": [[0.628, 0.628, 0.500], [0.671, 0.330, 0.750], [0.830, 0.829, 0.750], [0.500, 0.000, 0.500], [0.330, 0.671, 0.750], [0.829, 0.830, 0.250], [0.628, 0.628, 0.000], [0.670, 0.329, 0.250], [0.000, 0.500, 0.500], [0.329, 0.670, 0.250], [0.872, 0.128, 0.500], [0.170, 0.171, 0.250], [0.500, 0.000, 0.000], [0.000, 0.500, 0.000], [0.171, 0.170, 0.750], [0.372, 0.372, 0.500], [0.372, 0.372, 0.000], [0.128, 0.872, 0.000], [0.128, 0.872, 0.500], [0.872, 0.128, 0.000]], "ef_ev_per_atom": 0.094}



Number 1: calculated density 9.94 g/cm3. Number 2: calculated density 8.94 g/cm3.